1.
DFT (PBE-GGA) results for a geometry-optimized CaIn2Re structure.

Lattice parameters (Å, degrees): 10.339 10.339 10.339 154.47 154.47 36.42
Fractional positions:
Ca (0.000, 0.000, 0.000)
Ca (0.750, 0.250, 0.500)
In (0.188, 0.625, 0.063)
In (0.375, 0.438, 0.563)
In (0.562, 0.125, 0.937)
In (0.875, 0.812, 0.437)
Re (0.250, 0.750, 0.500)
Re (0.500, 0.500, 0.000)

Calculated values
energy above the most stable polymorph in this dataset	486	meV/atom
E_form	0.734	eV per atom
SG	No. 122

***

2.
DFT (PBE-GGA) results for a geometry-optimized TiZn structure.

Lattice parameters (Å, degrees): 6.129 6.129 6.129 96.39 96.39 141.02
Fractional positions:
Ti (0.000, 0.331, 0.331)
Ti (0.000, 0.669, 0.669)
Ti (0.331, 0.000, 0.331)
Ti (0.669, 0.000, 0.669)
Zn (0.337, 0.337, 0.673)
Zn (0.337, 0.663, 0.000)
Zn (0.663, 0.337, 0.000)
Zn (0.663, 0.663, 0.327)

Calculated values
E_form	0.037	eV per atom
SG	No. 139

***

3.
DFT (PBE-GGA) results for a geometry-optimized YMoCl2 structure.

Lattice parameters (Å, degrees): 3.859 4.199 4.984 90.00 91.27 90.00
Fractional positions:
Y (0.000, 0.000, 0.000)
Mo (0.500, 0.000, 0.500)
Cl (0.288, 0.500, 0.726)
Cl (0.712, 0.500, 0.274)

Calculated values
energy above the most stable polymorph in this dataset	196	meV/atom
SG	No. 10

***

4.
DFT (PBE-GGA) results for a geometry-optimized Tb2Ce2Ge4Os structure.

Lattice parameters (Å, degrees): 6.510 6.510 6.510 112.44 112.44 103.69
Fractional positions:
Tb (0.250, 0.750, 0.500)
Tb (0.750, 0.250, 0.500)
Ce (0.182, 0.182, 0.000)
Ce (0.818, 0.818, 0.000)
Ge (0.255, 0.255, 0.509)
Ge (0.255, 0.745, 0.000)
Ge (0.745, 0.255, 0.000)
Ge (0.745, 0.745, 0.491)
Os (0.500, 0.500, 0.000)

Calculated values
E_form	-0.411	eV per atom
SG	No. 139

***

5.
DFT (PBE-GGA) results for a geometry-optimized CrMoN2 structure.

Lattice parameters (Å, degrees): 5.490 5.490 5.490 130.67 130.67 72.33
Fractional positions:
Cr (0.000, 0.000, 0.000)
Cr (0.750, 0.250, 0.500)
Mo (0.250, 0.750, 0.500)
Mo (0.500, 0.500, 0.000)
N (0.107, 0.625, 0.982)
N (0.375, 0.357, 0.482)
N (0.643, 0.125, 0.018)
N (0.875, 0.893, 0.518)

Calculated values
SG	No. 122

***

6.
DFT (PBE-GGA) results for a geometry-optimized PmSO5 structure.

Lattice parameters (Å, degrees): 4.576 4.847 4.910 87.93 73.71 72.38
Fractional positions:
Pm (0.000, 0.000, 0.000)
S (0.799, 0.539, 0.579)
O (0.009, 0.656, 0.351)
O (0.449, 0.092, 0.065)
O (0.466, 0.733, 0.646)
O (0.822, 0.239, 0.492)
O (0.913, 0.514, 0.841)

Calculated values
SG	No. 1

***

7.
DFT (PBE-GGA) results for a geometry-optimized CdTe2As2 structure.

Lattice parameters (Å, degrees): 8.363 8.363 3.937 90.00 90.00 90.00
Fractional positions:
Cd (0.000, 0.000, 0.000)
Cd (0.500, 0.500, 0.000)
Te (0.149, 0.351, 0.500)
Te (0.351, 0.851, 0.500)
Te (0.649, 0.149, 0.500)
Te (0.851, 0.649, 0.500)
As (0.196, 0.696, 0.000)
As (0.304, 0.196, 0.000)
As (0.696, 0.804, 0.000)
As (0.804, 0.304, 0.000)

Calculated values
energy above the most stable polymorph in this dataset	0	meV/atom
SG	No. 127

***

8.
DFT (PBE-GGA) results for a geometry-optimized MnTcTe3 structure.

Lattice parameters (Å, degrees): 4.882 4.882 4.882 90.00 90.00 90.00
Fractional positions:
Mn (0.000, 0.000, 0.000)
Tc (0.500, 0.500, 0.500)
Te (0.000, 0.000, 0.500)
Te (0.000, 0.500, 0.000)
Te (0.500, 0.000, 0.000)

Calculated values
energy above the most stable polymorph in this dataset	0	meV/atom
SG	No. 221

***

Uncorrected energy? In order: -33.98, -36.38, -22.43, -54.53, -76.41, -47.08, -31.56, -23.20 eV/cell.